1.
Density functional theory data (PBE) for a relaxed structure of Y7In2Ir2.

Unit cell a=6.858 b=6.858 c=7.086 alpha=90.00 beta=90.00 gamma=106.25
Atoms (fractional coordinates):
1 Y 0.000 0.000 0.000
2 Y 0.000 0.500 0.249
3 Y 0.000 0.500 0.751
4 Y 0.500 0.000 0.249
5 Y 0.500 0.000 0.751
6 Y 0.500 0.500 0.242
7 Y 0.500 0.500 0.758
8 In 0.176 0.176 0.500
9 In 0.824 0.824 0.500
10 Ir 0.287 0.713 0.000
11 Ir 0.713 0.287 0.000

formation energy = -0.461 eV per atom



2.
Density functional theory data (PBE) for a relaxed structure of Ce3Al4Pt4.

Unit cell a=8.247 b=8.247 c=8.247 alpha=150.57 beta=127.53 gamma=61.30
Atoms (fractional coordinates):
1 Ce 0.000 0.000 0.000
2 Ce 0.385 0.885 0.500
3 Ce 0.615 0.115 0.500
4 Al 0.016 0.321 0.694
5 Al 0.373 0.679 0.694
6 Al 0.627 0.321 0.306
7 Al 0.984 0.679 0.306
8 Pt 0.221 0.221 0.000
9 Pt 0.287 0.500 0.787
10 Pt 0.713 0.500 0.213
11 Pt 0.779 0.779 0.000

formation energy = -1.085 eV per atom



3.
Density functional theory data (PBE) for a relaxed structure of Nd2Tm2Tl3.

Unit cell a=7.048 b=7.048 c=8.951 alpha=110.73 beta=110.73 gamma=30.85
Atoms (fractional coordinates):
1 Nd 0.111 0.111 0.442
2 Nd 0.889 0.889 0.558
3 Tm 0.377 0.377 0.178
4 Tm 0.623 0.623 0.822
5 Tl 0.000 0.000 0.000
6 Tl 0.303 0.303 0.791
7 Tl 0.697 0.697 0.209

formation energy = -0.176 eV per atom



4.
Density functional theory data (PBE) for a relaxed structure of Sr3SbRu.

Unit cell a=5.546 b=5.546 c=5.546 alpha=90.00 beta=90.00 gamma=90.00
Atoms (fractional coordinates):
1 Sr 0.000 0.000 0.500
2 Sr 0.000 0.500 0.000
3 Sr 0.500 0.000 0.000
4 Sb 0.500 0.500 0.500
5 Ru 0.000 0.000 0.000

formation energy from raw total energies = -0.193 eV per formula unit



5.
Density functional theory data (PBE) for a relaxed structure of TaB2CN.

Unit cell a=2.966 b=2.966 c=5.939 alpha=90.00 beta=90.00 gamma=90.00
Atoms (fractional coordinates):
1 Ta 0.000 0.000 0.000
2 B 0.000 0.500 0.500
3 B 0.500 0.000 0.500
4 C 0.500 0.500 0.500
5 N 0.500 0.500 0.000

formation energy from raw total energies = 3.154 eV per formula unit



6.
Density functional theory data (PBE) for a relaxed structure of BeB3Pd.

Unit cell a=4.071 b=4.071 c=4.071 alpha=90.00 beta=90.00 gamma=90.00
Atoms (fractional coordinates):
1 Be 0.000 0.000 0.000
2 B 0.000 0.500 0.500
3 B 0.500 0.000 0.500
4 B 0.500 0.500 0.000
5 Pd 0.500 0.500 0.500

formation energy = 1.747 eV per atom



no.,total energy (eV per atom)
1,-6.684
2,-6.260
3,-3.830
4,-3.727
5,-7.921
6,-4.043